No. 1
This record from Alexandria via LeMat-Bulk describes a relaxed structure of K2TaTlAu. The functional is GGA-PBE.

Lattice parameters (Å, degrees): 6.5814 6.5814 5.4716 90.00 90.00 90.00
Sites, in units of the cell vectors:
K  0.0000  0.5000  0.0000
K  0.5000  0.0000  0.0000
Ta  0.0000  0.0000  0.0000
Tl  0.0000  0.0000  0.5000
Au  0.5000  0.5000  0.5000

Computed properties:
- Formation enthalpy at 0 K: 1214 meV per atom
- Space-group type: P4/mmm (123)
- Theoretical density: 4.6 g cm⁻³
- Crystal system: tetragonal
- DFT total energy: -13.6 eV for the cell shown

=====

No. 2
This record from Alexandria via LeMat-Bulk describes a relaxed structure of KTbAu2. The functional is GGA-PBE.

Lattice parameters (Å, degrees): 3.7040 3.7040 8.1055 90.00 90.00 90.00
Sites, in units of the cell vectors:
K  0.0000  0.0000  0.0000
Tb  0.0000  0.0000  0.5000
Au  0.5000  0.5000  0.3126
Au  0.5000  0.5000  0.6874

Computed properties:
- Formation enthalpy at 0 K: -593 meV per atom
- Space-group type: P4/mmm (123)
- Theoretical density: 8.8 g cm⁻³
- Crystal system: tetragonal
- DFT total energy: -14.7 eV for the cell shown

=====

No. 3
This record from Alexandria via LeMat-Bulk describes a relaxed structure of KTb2Te4Au. The functional is GGA-PBE.

Lattice parameters (Å, degrees): 7.8613 7.8613 15.7337 90.00 90.00 147.29
Sites, in units of the cell vectors:
K  0.1304  0.8696  0.7500
K  0.8696  0.1304  0.2500
Tb  0.3696  0.6304  0.5725
Tb  0.3696  0.6304  0.9275
Tb  0.6304  0.3696  0.0725
Tb  0.6304  0.3696  0.4275
Te  0.0000  0.0000  0.0000
Te  0.0000  0.0000  0.5000
Te  0.2672  0.7328  0.1068
Te  0.2672  0.7328  0.3932
Te  0.4553  0.5447  0.7500
Te  0.5447  0.4553  0.2500
Te  0.7328  0.2672  0.6068
Te  0.7328  0.2672  0.8932
Au  0.1548  0.8452  0.2500
Au  0.8452  0.1548  0.7500

Computed properties:
- Space-group type: Cmcm (63)
- Formation energy from raw total energies: -9.1 eV/f.u.
- Theoretical density: 6.7 g cm⁻³
- Crystal system: orthorhombic
- DFT total energy: -70.5 eV for the cell shown

=====

No. 4
This record from Alexandria via LeMat-Bulk describes a relaxed structure of KTcAu2. The functional is GGA-PBE.

Lattice parameters (Å, degrees): 2.8142 2.8142 10.0075 90.00 90.00 90.00
Sites, in units of the cell vectors:
K  0.0000  0.0000  0.0000
Tc  0.5000  0.5000  0.2857
Au  0.0000  0.0000  0.4919
Au  0.5000  0.5000  0.7226

Computed properties:
- Formation enthalpy at 0 K: 575 meV per atom
- Space-group type: P4mm (99)
- E above lowest polymorph: 0.244 eV per atom
- Theoretical density: 11.1 g cm⁻³
- Crystal system: tetragonal
- DFT total energy: -15.7 eV for the cell shown

=====

No. 5
This record from Alexandria via LeMat-Bulk describes a relaxed structure of KTcAu2. The functional is GGA-PBE.

Lattice parameters (Å, degrees): 2.9244 2.9244 9.3101 90.00 90.00 90.00
Sites, in units of the cell vectors:
K  0.0000  0.0000  0.0000
Tc  0.0000  0.0000  0.5000
Au  0.5000  0.5000  0.2928
Au  0.5000  0.5000  0.7072

Computed properties:
- Formation enthalpy at 0 K: 382 meV per atom
- Space-group type: P4/mmm (123)
- E above lowest polymorph: 0.051 eV per atom
- Theoretical density: 11.1 g cm⁻³
- Crystal system: tetragonal
- DFT total energy: -16.5 eV for the cell shown

=====

No. 6
This record from Alexandria via LeMat-Bulk describes a relaxed structure of KTcAu2. The functional is GGA-PBE.

Lattice parameters (Å, degrees): 5.5729 5.5729 5.5729 135.20 135.20 65.21
Sites, in units of the cell vectors:
K  0.0000  0.0000  0.0000
Tc  0.2500  0.7500  0.5000
Au  0.5000  0.5000  0.0000
Au  0.7500  0.2500  0.5000

Computed properties:
- Formation enthalpy at 0 K: 768 meV per atom
- Space-group type: I-4m2 (119)
- E above lowest polymorph: 0.437 eV per atom
- Theoretical density: 10.4 g cm⁻³
- Crystal system: tetragonal
- DFT total energy: -14.9 eV for the cell shown

=====

No. 7
This record from Alexandria via LeMat-Bulk describes a relaxed structure of KTcAu2. The functional is GGA-PBE.

Lattice parameters (Å, degrees): 4.6678 4.6678 7.4032 94.57 94.57 34.24
Sites, in units of the cell vectors:
K  0.0000  0.0000  0.0000
Tc  0.5000  0.5000  0.5000
Au  0.2401  0.2401  0.6819
Au  0.7599  0.7599  0.3181

Computed properties:
- Formation enthalpy at 0 K: 460 meV per atom
- Space-group type: C2/m (12)
- E above lowest polymorph: 0.129 eV per atom
- Theoretical density: 9.8 g cm⁻³
- Crystal system: monoclinic
- DFT total energy: -16.2 eV for the cell shown

=====

No. 8
This record from Alexandria via LeMat-Bulk describes a relaxed structure of KTcAu2. The functional is GGA-PBE.

Lattice parameters (Å, degrees): 2.7106 4.7758 7.1617 90.00 90.00 90.00
Sites, in units of the cell vectors:
K  0.0000  0.0000  0.0000
Tc  0.5000  0.5000  0.3748
Au  0.0000  0.0000  0.4406
Au  0.5000  0.5000  0.7448

Computed properties:
- Formation enthalpy at 0 K: 520 meV per atom
- Space-group type: Pmm2 (25)
- E above lowest polymorph: 0.189 eV per atom
- Theoretical density: 9.5 g cm⁻³
- Crystal system: orthorhombic
- DFT total energy: -15.9 eV for the cell shown

=====

No. 9
This record from Alexandria via LeMat-Bulk describes a relaxed structure of KTc3Au. The functional is GGA-PBE.

Lattice parameters (Å, degrees): 5.1297 5.1297 5.1297 90.00 90.00 90.00
Sites, in units of the cell vectors:
K  0.0000  0.0000  0.0000
Tc  0.0000  0.5000  0.5000
Tc  0.5000  0.0000  0.5000
Tc  0.5000  0.5000  0.0000
Au  0.5000  0.5000  0.5000

Computed properties:
- Formation enthalpy at 0 K: 2094 meV per atom
- Space-group type: Pm-3m (221)
- E above lowest polymorph: 0.000 eV per atom
- Theoretical density: 6.5 g cm⁻³
- Crystal system: cubic
- DFT total energy: -25.0 eV for the cell shown

=====

No. 10
This record from Alexandria via LeMat-Bulk describes a relaxed structure of KTcAu2. The functional is GGA-PBE.

Lattice parameters (Å, degrees): 2.7749 4.0475 7.7038 90.00 90.00 90.00
Sites, in units of the cell vectors:
K  0.0000  0.0000  0.0000
Tc  0.0000  0.0000  0.5000
Au  0.5000  0.5000  0.3140
Au  0.5000  0.5000  0.6859

Computed properties:
- Formation enthalpy at 0 K: 331 meV per atom
- Space-group type: Pmmm (47)
- E above lowest polymorph: 0.000 eV per atom
- Theoretical density: 10.2 g cm⁻³
- Crystal system: orthorhombic
- DFT total energy: -16.7 eV for the cell shown

=====

No. 11
This record from Alexandria via LeMat-Bulk describes a relaxed structure of KTcAu2. The functional is GGA-PBE.

Lattice parameters (Å, degrees): 4.8702 6.9620 6.9620 22.66 90.00 90.00
Sites, in units of the cell vectors:
K  0.0000  0.0000  0.0000
Tc  0.5000  0.2961  0.2961
Au  0.0000  0.7737  0.7737
Au  0.5000  0.6215  0.6215

Computed properties:
- Formation enthalpy at 0 K: 422 meV per atom
- Space-group type: Amm2 (38)
- E above lowest polymorph: 0.091 eV per atom
- Theoretical density: 9.7 g cm⁻³
- Crystal system: orthorhombic
- DFT total energy: -16.3 eV for the cell shown

=====

No. 12
This record from Alexandria via LeMat-Bulk describes a relaxed structure of KTcAu2. The functional is GGA-PBE.

Lattice parameters (Å, degrees): 4.8847 4.8847 4.8847 60.00 60.00 60.00
Sites, in units of the cell vectors:
K  0.0000  0.0000  0.0000
Tc  0.2500  0.2500  0.2500
Au  0.5000  0.5000  0.5000
Au  0.7500  0.7500  0.7500

Computed properties:
- Formation enthalpy at 0 K: 864 meV per atom
- Space-group type: F-43m (216)
- E above lowest polymorph: 0.532 eV per atom
- Theoretical density: 10.7 g cm⁻³
- Crystal system: cubic
- DFT total energy: -14.6 eV for the cell shown

=====

No. 13
This record from Alexandria via LeMat-Bulk describes a relaxed structure of KTcAu2. The functional is GGA-PBE.

Lattice parameters (Å, degrees): 6.4133 6.4133 6.4133 155.28 131.08 55.56
Sites, in units of the cell vectors:
K  0.0000  0.0000  0.0000
Tc  0.2815  0.7815  0.5000
Au  0.4948  0.4948  0.0000
Au  0.7294  0.2294  0.5000

Computed properties:
- Formation enthalpy at 0 K: 532 meV per atom
- Space-group type: Imm2 (44)
- E above lowest polymorph: 0.200 eV per atom
- Theoretical density: 10.7 g cm⁻³
- Crystal system: orthorhombic
- DFT total energy: -15.9 eV for the cell shown

=====

No. 14
This record from Alexandria via LeMat-Bulk describes a relaxed structure of KTcAu2. The functional is GGA-PBE.

Lattice parameters (Å, degrees): 3.4411 3.4411 8.0511 90.00 90.00 90.00
Sites, in units of the cell vectors:
K  0.0000  0.0000  0.0000
Tc  0.5000  0.5000  0.3426
Au  0.0000  0.0000  0.5055
Au  0.5000  0.5000  0.7016

Computed properties:
- Formation enthalpy at 0 K: 676 meV per atom
- Space-group type: P4mm (99)
- E above lowest polymorph: 0.345 eV per atom
- Theoretical density: 9.2 g cm⁻³
- Crystal system: tetragonal
- DFT total energy: -15.3 eV for the cell shown